1.
YSbRu2: relaxed, GGA-PBE.

Values from the calculation:
DOS at the Fermi energy = 0.7749 states/eV per atom
Magnetic moment = 0.0 μB per formula unit
Total energy = -7.393 eV per atom
Raw formation energy = -10.5 kJ/mol of atoms
Volume = 76 Å³ per cell

CIF file:
```
data_YSbRu2
_cell_length_a 3.234
_cell_length_b 4.778
_cell_length_c 5.089
_cell_angle_alpha 90.00
_cell_angle_beta 103.58
_cell_angle_gamma 90.00
_space_group_name_H-M_alt 'P 1'
_space_group_IT_number 1
loop_
_space_group_symop_operation_xyz
'x,y,z'
loop_
_atom_site_label
_atom_site_type_symbol
_atom_site_fract_x
_atom_site_fract_y
_atom_site_fract_z
Y1 Y 0.000 0.000 0.000
Sb1 Sb 0.429 0.500 0.735
Ru1 Ru 0.412 0.000 0.498
Ru2 Ru 0.771 0.500 0.300
```

---

2.
BaSi2Te: relaxed, GGA-PBE.

Values from the calculation:
DOS at the Fermi energy = 0.7620 states/eV per atom
Magnetic moment = 0.0 μB per formula unit
Total energy = -3.995 eV per atom
Raw formation energy = -1.6 kJ/mol of atoms
Volume = 112 Å³ per cell

CIF file:
```
data_BaSi2Te
_cell_length_a 4.066
_cell_length_b 4.066
_cell_length_c 6.762
_cell_angle_alpha 90.00
_cell_angle_beta 90.00
_cell_angle_gamma 90.00
_space_group_name_H-M_alt 'P 1'
_space_group_IT_number 1
loop_
_space_group_symop_operation_xyz
'x,y,z'
loop_
_atom_site_label
_atom_site_type_symbol
_atom_site_fract_x
_atom_site_fract_y
_atom_site_fract_z
Ba1 Ba 0.000 0.000 0.000
Si1 Si 0.500 0.500 0.330
Si2 Si 0.500 0.500 0.670
Te1 Te 0.000 0.000 0.500
```

---

3.
CdAsP2: relaxed, GGA-PBE.

Values from the calculation:
DOS at the Fermi energy = 0.4596 states/eV per atom
Magnetic moment = 0.0 μB per formula unit
E_form = 0.5795 eV/atom
Total energy = -3.517 eV per atom
Energy relative to the lowest polymorph listed for this composition = 166 kJ/mol of formula units
Volume = 73 Å³ per cell

CIF file:
```
data_CdAsP2
_cell_length_a 2.879
_cell_length_b 2.879
_cell_length_c 9.372
_cell_angle_alpha 90.00
_cell_angle_beta 90.00
_cell_angle_gamma 109.57
_space_group_name_H-M_alt 'P 1'
_space_group_IT_number 1
loop_
_space_group_symop_operation_xyz
'x,y,z'
loop_
_atom_site_label
_atom_site_type_symbol
_atom_site_fract_x
_atom_site_fract_y
_atom_site_fract_z
Cd1 Cd 0.000 0.000 0.000
As1 As 0.000 0.000 0.500
P1 P 0.500 0.500 0.271
P2 P 0.500 0.500 0.729
```

---

4.
CsHoSe2O8: relaxed, GGA-PBE.

Values from the calculation:
DOS at the Fermi energy = 0.0000 states/eV per atom
Magnetic moment = 0.0 μB per formula unit
Total energy = -5.912 eV per atom
Raw formation energy = -151.8 kJ/mol of atoms
Volume = 243 Å³ per cell

CIF file:
```
data_CsHoSe2O8
_cell_length_a 5.538
_cell_length_b 5.538
_cell_length_c 9.154
_cell_angle_alpha 90.00
_cell_angle_beta 90.00
_cell_angle_gamma 120.00
_space_group_name_H-M_alt 'P 1'
_space_group_IT_number 1
loop_
_space_group_symop_operation_xyz
'x,y,z'
loop_
_atom_site_label
_atom_site_type_symbol
_atom_site_fract_x
_atom_site_fract_y
_atom_site_fract_z
Cs1 Cs 0.000 0.000 0.000
Ho1 Ho 0.000 0.000 0.500
Se1 Se 0.333 0.667 0.713
Se2 Se 0.667 0.333 0.287
O1 O 0.087 0.355 0.649
O2 O 0.268 0.913 0.649
O3 O 0.333 0.667 0.892
O4 O 0.355 0.268 0.351
O5 O 0.645 0.732 0.649
O6 O 0.667 0.333 0.108
O7 O 0.732 0.087 0.351
O8 O 0.913 0.645 0.351
```

---

5.
LiPuHgPb: relaxed, GGA-PBE.

Values from the calculation:
DOS at the Fermi energy = 3.1975 states/eV per atom
Magnetic moment = 5.4 μB per formula unit
E_form = -0.2038 eV/atom
Total energy = -5.268 eV per atom
Energy relative to the lowest polymorph listed for this composition = 15 kJ/mol of formula units
Volume = 100 Å³ per cell

CIF file:
```
data_LiPuHgPb
_cell_length_a 5.208
_cell_length_b 5.208
_cell_length_c 5.208
_cell_angle_alpha 60.00
_cell_angle_beta 60.00
_cell_angle_gamma 60.00
_space_group_name_H-M_alt 'P 1'
_space_group_IT_number 1
loop_
_space_group_symop_operation_xyz
'x,y,z'
loop_
_atom_site_label
_atom_site_type_symbol
_atom_site_fract_x
_atom_site_fract_y
_atom_site_fract_z
Li1 Li 0.000 0.000 0.000
Pu1 Pu 0.500 0.500 0.500
Hg1 Hg 0.250 0.250 0.250
Pb1 Pb 0.750 0.750 0.750
```